[1]
A plane-wave DFT calculation with PBE was carried out for TbHoTm5Sc2 after structural relaxation.

Cell: 5.522 21.143 9.242 Å, 90.00 90.00 90.00°
Space group Cmc2_1 (No. 36)
Inequivalent atoms, fractional coordinates:
Tb  0.000  0.186  0.000
Ho  0.000  0.402  0.402
Tm  0.000  0.011  0.999
Tm  0.000  0.264  0.319
Tm  0.000  0.307  0.702
Tm  0.000  0.392  0.028
Tm  0.000  0.469  0.730
Sc  0.000  0.113  0.306
Sc  0.000  0.138  0.680

Computed properties:
* crystal system: orthorhombic
* DOS(E_F): 54.97 states/eV per cell
* energy relative to the elements: 171 meV per atom
* VASP energy: -4.74 eV/atom


[2]
A plane-wave DFT calculation with PBE was carried out for GeBi2Pd6 after structural relaxation.

Cell: 12.837 7.363 3.950 Å, 90.00 107.82 90.00°
Space group C2/m (No. 12)
Inequivalent atoms, fractional coordinates:
Ge  0.000  0.000  0.000
Bi  0.150  0.500  0.652
Pd  0.000  0.204  0.500
Pd  0.164  0.218  0.165

Computed properties:
* crystal system: monoclinic
* DOS(E_F): 5.53 states/eV per cell
* energy relative to the elements: -269 meV per atom
* VASP energy: -5.11 eV/atom


[3]
A plane-wave DFT calculation with PBE was carried out for Dy7As5S after structural relaxation.

Cell: 13.433 4.048 24.066 Å, 90.00 90.15 90.00°
Space group Cm (No. 8)
Inequivalent atoms, fractional coordinates:
Dy  0.000  0.000  0.000
Dy  0.000  0.000  0.143
Dy  0.042  0.500  0.286
Dy  0.042  0.500  0.858
Dy  0.093  0.000  0.717
Dy  0.094  0.000  0.426
Dy  0.131  0.500  0.572
Dy  0.230  0.500  0.072
Dy  0.266  0.000  0.218
Dy  0.267  0.000  0.926
Dy  0.317  0.500  0.786
Dy  0.318  0.500  0.358
Dy  0.360  0.000  0.644
Dy  0.361  0.000  0.500
As  0.134  0.500  0.175
As  0.135  0.500  0.968
As  0.180  0.000  0.322
As  0.180  0.000  0.822
As  0.225  0.500  0.675
As  0.227  0.500  0.468
As  0.407  0.500  0.247
As  0.407  0.500  0.897
As  0.453  0.000  0.747
As  0.454  0.000  0.397
S  0.380  0.000  0.070
S  0.480  0.500  0.574

Computed properties:
* crystal system: monoclinic
* DOS(E_F): 22.75 states/eV per cell
* formation energy from raw total energies: -1402 meV/atom
* VASP energy: -5.99 eV/atom


[4]
A plane-wave DFT calculation with PBE was carried out for BaLi2NdAs2 after structural relaxation.

Cell: 4.4216 4.4216 8.6082 Å, 90.00 90.00 120.00°
Space group P-3m1 (No. 164)
Inequivalent atoms, fractional coordinates:
Ba  0.0000  0.0000  0.0000
Li  0.3333  0.6667  0.7272
Nd  0.0000  0.0000  0.5000
As  0.3333  0.6667  0.2850

Computed properties:
* crystal system: trigonal
* DOS(E_F): 3.15 states/eV per cell
* energy relative to the elements: -976 meV per atom
* VASP energy: -4.28 eV/atom


[5]
A plane-wave DFT calculation with PBE was carried out for KNaCdSe2 after structural relaxation.

Cell: 15.529 4.573 9.504 Å, 90.00 97.17 90.00°
Space group C2/m (No. 12)
Inequivalent atoms, fractional coordinates:
K  0.115  0.000  0.163
Na  0.188  0.000  0.580
Cd  0.050  0.500  0.678
Se  0.099  0.000  0.820
Se  0.123  0.500  0.419

Computed properties:
* crystal system: monoclinic
* formation energy from raw total energies: -926 meV/atom
* VASP energy: -2.99 eV/atom


[6]
A plane-wave DFT calculation with PBE was carried out for BeGeO2 after structural relaxation.

Cell: 4.781 4.781 7.485 Å, 90.00 90.00 90.00°
Space group I-42d (No. 122)
Inequivalent atoms, fractional coordinates:
Be  0.000  0.000  0.000
Ge  0.000  0.000  0.500
O  0.146  0.250  0.125

Computed properties:
* crystal system: tetragonal
* DOS(E_F): 0.00 states/eV per cell
* formation energy from raw total energies: -1516 meV/atom
* VASP energy: -6.08 eV/atom


[7]
A plane-wave DFT calculation with PBE was carried out for Sc4TlGaO after structural relaxation.

Cell: 6.064 15.066 6.073 Å, 90.00 90.00 90.00°
Space group Cmcm (No. 63)
Inequivalent atoms, fractional coordinates:
Sc  0.000  0.079  0.250
Sc  0.000  0.411  0.250
Sc  0.250  0.250  0.000
Tl  0.000  0.394  0.750
Ga  0.000  0.115  0.750
O  0.000  0.252  0.250

Computed properties:
* crystal system: orthorhombic
* DOS(E_F): 8.50 states/eV per cell
* formation energy from raw total energies: -1127 meV/atom
* VASP energy: -6.22 eV/atom


[8]
A plane-wave DFT calculation with PBE was carried out for Ba3YHo3Se8 after structural relaxation.

Cell: 8.4032 8.4032 22.5615 Å, 90.00 90.00 120.00°
Space group R-3m (No. 166, hexagonal axes)
Inequivalent atoms, fractional coordinates:
Ba  0.0000  0.5000  0.0000
Y  0.0000  0.0000  0.5000
Ho  0.0000  0.5000  0.5000
Se  0.0000  0.0000  0.2371
Se  0.0036  0.5018  0.7632

Computed properties:
* crystal system: trigonal
* DOS(E_F): 10.43 states/eV per cell
* formation energy from raw total energies: -1922 meV/atom
* VASP energy: -5.51 eV/atom


[9]
A plane-wave DFT calculation with PBE was carried out for Cd2ReCl2 after structural relaxation.

Cell: 8.290 8.290 3.080 Å, 90.00 90.00 90.00°
Space group P4/mbm (No. 127)
Inequivalent atoms, fractional coordinates:
Cd  0.188  0.312  0.000
Re  0.000  0.000  0.500
Cl  0.123  0.623  0.500

Computed properties:
* crystal system: tetragonal
* DOS(E_F): 7.10 states/eV per cell
* formation energy from raw total energies: 789 meV/atom
* VASP energy: -2.81 eV/atom


[10]
A plane-wave DFT calculation with PBE was carried out for EuGdPdRu after structural relaxation.

Cell: 7.015 7.015 7.015 Å, 90.00 90.00 90.00°
Space group F-43m (No. 216)
Inequivalent atoms, fractional coordinates:
Eu  0.000  0.000  0.000
Gd  0.000  0.000  0.500
Pd  0.250  0.250  0.250
Ru  0.250  0.250  0.750

Computed properties:
* crystal system: cubic
* DOS(E_F): 40.00 states/eV per cell
* energy relative to the elements: -327 meV per atom
* VASP energy: -10.03 eV/atom


[11]
A plane-wave DFT calculation with PBE was carried out for ZrTaReOs after structural relaxation.

Cell: 6.480 6.480 6.480 Å, 90.00 90.00 90.00°
Space group F-43m (No. 216)
Inequivalent atoms, fractional coordinates:
Zr  0.000  0.000  0.000
Ta  0.000  0.000  0.500
Re  0.250  0.250  0.250
Os  0.250  0.250  0.750

Computed properties:
* crystal system: cubic
* DOS(E_F): 5.69 states/eV per cell
* energy relative to the elements: -409 meV per atom
* VASP energy: -11.43 eV/atom


[12]
A plane-wave DFT calculation with PBE was carried out for NaAs2F8 after structural relaxation.

Cell: 9.598 7.491 5.153 Å, 90.00 98.25 90.00°
Space group C2/m (No. 12)
Inequivalent atoms, fractional coordinates:
Na  0.000  0.000  0.000
As  0.221  0.500  0.529
F  0.086  0.500  0.755
F  0.138  0.000  0.691
F  0.180  0.170  0.277

Computed properties:
* crystal system: monoclinic
* DOS(E_F): 7.97 states/eV per cell
* formation energy from raw total energies: -2095 meV/atom
* VASP energy: -4.42 eV/atom


[13]
A plane-wave DFT calculation with PBE was carried out for PmHfHg after structural relaxation.

Cell: 3.3879 3.3879 15.5692 Å, 90.00 90.00 120.00°
Space group P-6m2 (No. 187)
Inequivalent atoms, fractional coordinates:
Pm  0.0000  0.0000  0.1776
Hf  0.6667  0.3333  0.3457
Hg  0.0000  0.0000  0.5000
Hg  0.6667  0.3333  0.0000

Computed properties:
* crystal system: hexagonal
* DOS(E_F): 6.38 states/eV per cell
* energy relative to the elements: 37 meV per atom
* VASP energy: -4.96 eV/atom


[14]
A plane-wave DFT calculation with PBE was carried out for Nd5Dy3Bi8 after structural relaxation.

Cell: 9.1234 9.1234 22.3374 Å, 90.00 90.00 120.00°
Space group R-3m (No. 166, hexagonal axes)
Inequivalent atoms, fractional coordinates:
Nd  0.0000  0.0000  0.0000
Nd  0.0000  0.0000  0.5000
Nd  0.0000  0.5000  0.0000
Dy  0.0000  0.5000  0.5000
Bi  0.0000  0.0000  0.2471
Bi  0.0039  0.5020  0.7520

Computed properties:
* crystal system: trigonal
* DOS(E_F): 8.00 states/eV per cell
* energy relative to the elements: -911 meV per atom
* VASP energy: -5.20 eV/atom


[15]
A plane-wave DFT calculation with PBE was carried out for SrMg2H6 after structural relaxation.

Cell: 7.688 7.688 7.688 Å, 90.00 90.00 90.00°
Space group Fm-3m (No. 225)
Inequivalent atoms, fractional coordinates:
Sr  0.000  0.000  0.000
Mg  0.250  0.250  0.250
H  0.000  0.000  0.286

Computed properties:
* crystal system: cubic
* DOS(E_F): 19.08 states/eV per cell
* VASP energy: -2.19 eV/atom


[16]
A plane-wave DFT calculation with PBE was carried out for ScCrAu after structural relaxation.

Cell: 6.369 6.369 6.369 Å, 90.00 90.00 90.00°
Space group F-43m (No. 216)
Inequivalent atoms, fractional coordinates:
Sc  0.000  0.000  0.000
Cr  0.250  0.250  0.250
Au  0.250  0.250  0.750

Computed properties:
* crystal system: cubic
* DOS(E_F): 11.99 states/eV per cell
* energy relative to the elements: 356 meV per atom
* VASP energy: -6.05 eV/atom


[17]
A plane-wave DFT calculation with PBE was carried out for Na2NbZnO4 after structural relaxation.

Cell: 5.555 5.555 7.528 Å, 90.00 90.00 90.00°
Space group I-4 (No. 82)
Inequivalent atoms, fractional coordinates:
Na  0.000  0.000  0.000
Na  0.000  0.500  0.250
Nb  0.000  0.000  0.500
Zn  0.000  0.500  0.750
O  0.187  0.257  0.608

Computed properties:
* crystal system: tetragonal
* DOS(E_F): 4.75 states/eV per cell
* formation energy from raw total energies: -1808 meV/atom
* VASP energy: -6.03 eV/atom


[18]
A plane-wave DFT calculation with PBE was carried out for RbSc2TiN after structural relaxation.

Cell: 5.003 5.003 4.527 Å, 90.00 90.00 90.00°
Space group P4/mmm (No. 123)
Inequivalent atoms, fractional coordinates:
Rb  0.000  0.000  0.000
Sc  0.000  0.500  0.000
Ti  0.000  0.000  0.500
N  0.500  0.500  0.500

Computed properties:
* crystal system: tetragonal
* DOS(E_F): 5.93 states/eV per cell
* formation energy from raw total energies: 2685 meV/atom
* VASP energy: -3.29 eV/atom


[19]
A plane-wave DFT calculation with PBE was carried out for Ca2MgTe4Pb after structural relaxation.

Cell: 7.788 4.482 7.797 Å, 90.00 109.42 90.00°
Space group P2/m (No. 10)
Inequivalent atoms, fractional coordinates:
Ca  0.000  0.000  0.000
Ca  0.000  0.500  0.500
Mg  0.500  0.000  0.500
Te  0.251  0.000  0.737
Te  0.261  0.500  0.266
Pb  0.500  0.500  0.000

Computed properties:
* crystal system: monoclinic
* DOS(E_F): 0.00 states/eV per cell
* formation energy from raw total energies: -1091 meV/atom
* VASP energy: -3.83 eV/atom


[20]
A plane-wave DFT calculation with PBE was carried out for AlIrPt after structural relaxation.

Cell: 2.853 2.853 10.727 Å, 90.00 90.00 90.00°
Space group I4mm (No. 107)
Inequivalent atoms, fractional coordinates:
Al  0.000  0.000  0.000
Ir  0.000  0.000  0.352
Pt  0.000  0.000  0.659

Computed properties:
* crystal system: tetragonal
* DOS(E_F): 4.67 states/eV per cell
* energy relative to the elements: -596 meV per atom
* VASP energy: -6.81 eV/atom